Entry from the Alexandria database: an optimized crystal structure of Ba2NiHF6 (GGA+U).

abc: 7.0779 5.1698 5.6567
angles: 69.14 62.92 95.51
With the nearest neighbours (Å) after each atom.
Fractional positions:
F: 0.8954 0.3328 0.8452  1 Ni 2.01
F: 0.5795 0.7154 0.9842  1 H 1.15
F: 0.6879 0.8111 0.3948  1 Ni 2.09
F: 0.3121 0.1889 0.6052  1 Ni 2.09
F: 0.4205 0.2846 0.0158  1 H 1.15
F: 0.1046 0.6672 0.1548  1 Ni 2.01
Ba: 0.7219 0.2605 0.5247  7 F 2.60-2.75
Ba: 0.2781 0.7395 0.4753  7 F 2.60-2.75
Ni: 0.0000 0.0000 0.0000  4 F 2.01-2.09
H: 0.5000 0.5000 0.0000  2 F 1.15

Output
- E: -4.913 eV per atom
- SG: No. 2
- Total magnetic moment: 1.00 μB/f.u.
- Crystal system: triclinic